Entry 1:
# Sr2CoAg PBE optimized geometry
# Crystal system ... tetragonal
data_Sr2CoAg
_symmetry_space_group_name_H-M 'P 4 m m'
_symmetry_Int_Tables_number 99
_symmetry_space_group_name_Hall 'P 4 -2'
_cell_length_a 3.6876
_cell_length_b 3.6876
_cell_length_c 8.6684
_cell_angle_alpha 90.00
_cell_angle_beta 90.00
_cell_angle_gamma 90.00
loop_
_atom_site_label
_atom_site_type_symbol
_atom_site_fract_x
_atom_site_fract_y
_atom_site_fract_z
Sr1 Sr 0.0000 0.0000 0.0000
Sr2 Sr 0.5000 0.5000 0.4157
Co1 Co 0.5000 0.5000 0.7631
Ag1 Ag 0.0000 0.0000 0.6523



Entry 2:
# SrCo2Ag PBE optimized geometry
# Crystal system ... monoclinic
data_SrCo2Ag
_symmetry_space_group_name_H-M 'C 1 2/m 1'
_symmetry_Int_Tables_number 12
_symmetry_space_group_name_Hall '-C 2y'
_cell_length_a 7.5661
_cell_length_b 4.3582
_cell_length_c 5.8224
_cell_angle_alpha 90.00
_cell_angle_beta 115.47
_cell_angle_gamma 90.00
loop_
_atom_site_label
_atom_site_type_symbol
_atom_site_fract_x
_atom_site_fract_y
_atom_site_fract_z
Sr1 Sr 0.0000 0.0000 0.0000
Co1 Co 0.1819 0.0000 0.5446
Ag1 Ag 0.0000 0.5000 0.5000



Entry 3:
# Sr2CoAg PBE optimized geometry
# Crystal system ... tetragonal
data_Sr2CoAg
_symmetry_space_group_name_H-M 'P 4/m m m'
_symmetry_Int_Tables_number 123
_symmetry_space_group_name_Hall '-P 4 2'
_cell_length_a 3.7461
_cell_length_b 3.7461
_cell_length_c 7.7525
_cell_angle_alpha 90.00
_cell_angle_beta 90.00
_cell_angle_gamma 90.00
loop_
_atom_site_label
_atom_site_type_symbol
_atom_site_fract_x
_atom_site_fract_y
_atom_site_fract_z
Sr1 Sr 0.0000 0.0000 0.2287
Co1 Co 0.5000 0.5000 0.0000
Ag1 Ag 0.5000 0.5000 0.5000



Entry 4:
# SrCo2Ag PBE optimized geometry
# Crystal system ... monoclinic
data_SrCo2Ag
_symmetry_space_group_name_H-M 'P 1 m 1'
_symmetry_Int_Tables_number 6
_symmetry_space_group_name_Hall 'P -2y'
_cell_length_a 3.1867
_cell_length_b 3.1489
_cell_length_c 7.3967
_cell_angle_alpha 90.00
_cell_angle_beta 90.14
_cell_angle_gamma 90.00
loop_
_atom_site_label
_atom_site_type_symbol
_atom_site_fract_x
_atom_site_fract_y
_atom_site_fract_z
Sr1 Sr 0.0000 0.0000 0.0000
Co1 Co 0.0000 0.0000 0.5676
Co2 Co 0.5003 0.5000 0.6914
Ag1 Ag 0.4997 0.5000 0.3320



Entry 5:
# Ta2CoAg PBE optimized geometry
# Crystal system ... cubic
# Energy relative to the lowest polymorph listed for this composition ... 26.20 kJ per mole of atoms
data_Ta2CoAg
_symmetry_space_group_name_H-M 'F m -3 m'
_symmetry_Int_Tables_number 225
_symmetry_space_group_name_Hall '-F 4 2 3'
_cell_length_a 6.3954
_cell_length_b 6.3954
_cell_length_c 6.3954
_cell_angle_alpha 90.00
_cell_angle_beta 90.00
_cell_angle_gamma 90.00
loop_
_atom_site_label
_atom_site_type_symbol
_atom_site_fract_x
_atom_site_fract_y
_atom_site_fract_z
Ta1 Ta 0.2500 0.2500 0.2500
Co1 Co 0.0000 0.0000 0.0000
Ag1 Ag 0.0000 0.0000 0.5000



Entry 6:
# TaCo3Ag PBE optimized geometry
# Crystal system ... cubic
# Energy relative to the lowest polymorph listed for this composition ... 0.00 kJ per mole of atoms
data_TaCo3Ag
_symmetry_space_group_name_H-M 'P m -3 m'
_symmetry_Int_Tables_number 221
_symmetry_space_group_name_Hall '-P 4 2 3'
_cell_length_a 4.4800
_cell_length_b 4.4800
_cell_length_c 4.4800
_cell_angle_alpha 90.00
_cell_angle_beta 90.00
_cell_angle_gamma 90.00
loop_
_atom_site_label
_atom_site_type_symbol
_atom_site_fract_x
_atom_site_fract_y
_atom_site_fract_z
Ta1 Ta 0.0000 0.0000 0.0000
Co1 Co 0.0000 0.0000 0.5000
Ag1 Ag 0.5000 0.5000 0.5000



Entry 7:
# Ta2CoAg PBE optimized geometry
# Crystal system ... monoclinic
# Energy relative to the lowest polymorph listed for this composition ... 8.19 kJ per mole of atoms
data_Ta2CoAg
_symmetry_space_group_name_H-M 'P 1 2/m 1'
_symmetry_Int_Tables_number 10
_symmetry_space_group_name_Hall '-P 2y'
_cell_length_a 2.8198
_cell_length_b 3.9916
_cell_length_c 5.6937
_cell_angle_alpha 90.00
_cell_angle_beta 96.04
_cell_angle_gamma 90.00
loop_
_atom_site_label
_atom_site_type_symbol
_atom_site_fract_x
_atom_site_fract_y
_atom_site_fract_z
Ta1 Ta 0.0483 0.0000 0.2723
Co1 Co 0.5000 0.5000 0.5000
Ag1 Ag 0.5000 0.5000 0.0000



Entry 8:
# Ta2CoAg PBE optimized geometry
# Crystal system ... orthorhombic
# Energy relative to the lowest polymorph listed for this composition ... 9.47 kJ per mole of atoms
data_Ta2CoAg
_symmetry_space_group_name_H-M 'P m m m'
_symmetry_Int_Tables_number 47
_symmetry_space_group_name_Hall '-P 2 2'
_cell_length_a 2.8127
_cell_length_b 3.9667
_cell_length_c 5.6941
_cell_angle_alpha 90.00
_cell_angle_beta 90.00
_cell_angle_gamma 90.00
loop_
_atom_site_label
_atom_site_type_symbol
_atom_site_fract_x
_atom_site_fract_y
_atom_site_fract_z
Ta1 Ta 0.0000 0.0000 0.2315
Co1 Co 0.5000 0.5000 0.0000
Ag1 Ag 0.5000 0.5000 0.5000



Entry 9:
# Ta2CoAg PBE optimized geometry
# Crystal system ... tetragonal
# Energy relative to the lowest polymorph listed for this composition ... 69.35 kJ per mole of atoms
data_Ta2CoAg
_symmetry_space_group_name_H-M 'I -4 2 d'
_symmetry_Int_Tables_number 122
_symmetry_space_group_name_Hall 'I -4 2bw'
_cell_length_a 3.8830
_cell_length_b 3.8830
_cell_length_c 18.5603
_cell_angle_alpha 90.00
_cell_angle_beta 90.00
_cell_angle_gamma 90.00
loop_
_atom_site_label
_atom_site_type_symbol
_atom_site_fract_x
_atom_site_fract_y
_atom_site_fract_z
Ta1 Ta 0.2386 0.2500 0.1250
Co1 Co 0.0000 0.0000 0.0000
Ag1 Ag 0.0000 0.0000 0.5000



Entry 10:
# Ta2CoAg PBE optimized geometry
# Crystal system ... tetragonal
# Energy relative to the lowest polymorph listed for this composition ... 0.00 kJ per mole of atoms
data_Ta2CoAg
_symmetry_space_group_name_H-M 'P 4 m m'
_symmetry_Int_Tables_number 99
_symmetry_space_group_name_Hall 'P 4 -2'
_cell_length_a 3.1134
_cell_length_b 3.1134
_cell_length_c 6.7214
_cell_angle_alpha 90.00
_cell_angle_beta 90.00
_cell_angle_gamma 90.00
loop_
_atom_site_label
_atom_site_type_symbol
_atom_site_fract_x
_atom_site_fract_y
_atom_site_fract_z
Ta1 Ta 0.0000 0.0000 0.0000
Ta2 Ta 0.5000 0.5000 0.2859
Co1 Co 0.5000 0.5000 0.8213
Ag1 Ag 0.0000 0.0000 0.5643



Entry 11:
# Ta2CoAg PBE optimized geometry
# Crystal system ... tetragonal
# Energy relative to the lowest polymorph listed for this composition ... 13.56 kJ per mole of atoms
data_Ta2CoAg
_symmetry_space_group_name_H-M 'P 4/m m m'
_symmetry_Int_Tables_number 123
_symmetry_space_group_name_Hall '-P 4 2'
_cell_length_a 3.9561
_cell_length_b 3.9561
_cell_length_c 4.0538
_cell_angle_alpha 90.00
_cell_angle_beta 90.00
_cell_angle_gamma 90.00
loop_
_atom_site_label
_atom_site_type_symbol
_atom_site_fract_x
_atom_site_fract_y
_atom_site_fract_z
Ta1 Ta 0.0000 0.5000 0.0000
Co1 Co 0.0000 0.0000 0.5000
Ag1 Ag 0.5000 0.5000 0.5000



Entry 12:
# Ta2CoAg PBE optimized geometry
# Crystal system ... monoclinic
# Energy relative to the lowest polymorph listed for this composition ... 15.44 kJ per mole of atoms
data_Ta2CoAg
_symmetry_space_group_name_H-M 'P 1 m 1'
_symmetry_Int_Tables_number 6
_symmetry_space_group_name_Hall 'P -2y'
_cell_length_a 2.8005
_cell_length_b 4.5572
_cell_length_c 5.0473
_cell_angle_alpha 90.00
_cell_angle_beta 94.86
_cell_angle_gamma 90.00
loop_
_atom_site_label
_atom_site_type_symbol
_atom_site_fract_x
_atom_site_fract_y
_atom_site_fract_z
Ta1 Ta 0.0000 0.0000 0.0000
Ta2 Ta 0.1838 0.5000 0.6673
Co1 Co 0.5666 0.0000 0.5300
Ag1 Ag 0.5949 0.5000 0.1918



| no. | energy relative to the elements (meV/atom) | Fermi-level density of states (states/eV/cell) |
| --- | --- | --- |
| 1 | 322 | 8.995 |
| 2 | 290 | 6.013 |
| 3 | 196 | 7.488 |
| 4 | 357 | 3.311 |
| 5 | 367 | 7.047 |
| 6 | 1361 | 7.954 |
| 7 | 180 | 2.879 |
| 8 | 194 | 4.187 |
| 9 | 814 | 16.666 |
| 10 | 95 | 2.049 |
| 11 | 236 | 3.182 |
| 12 | 255 | 4.257 |